Density functional theory data (PBE-GGA) for an optimized crystal structure of Li2CdI4.

The space group is I4/mmm (No. 139) and the conventional cell measures 6.038, 6.038 and 14.619 Å, with angles of 90.00, 90.00 and 90.00 degrees. Symmetry generates all atoms from Li at (0.000, 0.000, 0.122), Cd at (0.000, 0.000, 0.500), I at (0.000, 0.000, 0.302) and I at (0.000, 0.500, 0.000).

The value obtained for the formation energy without anion corrections is -4.86 eV per formula unit. The magnetization comes out at 0.00 μB per atom. Its calculated volume is 38.07 A^3/atom.